Entry from the Alexandria database: a relaxed CrSO2F crystal (PBE+U).

Cell: 3.5272 3.5272 5.4400 Å, 90.00 90.00 90.00°
Last column: nearest neighbours and their distance in Å.
Fractional positions:
Cr1 0.0000 0.0000 0.0000  4 F 2.49
S1 0.5000 0.5000 0.5000  4 O 1.76
O1 0.0000 0.5000 0.5000  2 S 1.76
O2 0.5000 0.0000 0.5000  2 S 1.76
F1 0.5000 0.5000 0.0000  4 Cr 2.49, 2 S 2.72

Values from the calculation:
DOS at the Fermi energy   0.6469 states/eV per atom
Total DFT energy (no corrections)   -5.124 eV per atom